DFT (GGA-PBE) results for crystalline ThTe3 at its relaxed geometry.

energy	-5.180	eV per atom
density	6845	kg/m³

Cell: 6.266 4.442 10.807 Å, 90.00 97.46 90.00°
Space group P2_1/m (No. 11)
One atom of each set of equivalent atoms:
Th  0.216  0.250  0.346 x2
Te  0.053  0.250  0.820 x2
Te  0.265  0.750  0.562 x2
Te  0.389  0.750  0.166 x2